1.
This record from Alexandria via LeMat-Bulk describes a relaxed HoMgBi crystal. The functional is PBE.

Symmetry: I4mm (107)
Energy relative to the elements: -0.239 eV per atom
Excess energy over the best structure of this formula in the dataset: 0.114 eV/atom

Cell lengths 3.837, 3.837, 11.204 Å; angles 90.00, 90.00, 90.00 degrees
Element x y z (fractional)
Ho  0.000  0.000  0.000
Ho  0.500  0.500  0.500
Mg  0.000  0.000  0.678
Mg  0.500  0.500  0.178
Bi  0.000  0.000  0.321
Bi  0.500  0.500  0.821


2.
This record from Alexandria via LeMat-Bulk describes a relaxed HoMgBi2 crystal. The functional is PBE.

Symmetry: R3m (160)
Energy relative to the elements: -0.386 eV per atom
Excess energy over the best structure of this formula in the dataset: 0.051 eV/atom

Cell lengths 4.557, 4.557, 20.706 Å; angles 90.00, 90.00, 120.00 degrees
Element x y z (fractional)
Ho  0.000  0.000  0.000
Ho  0.333  0.667  0.667
Ho  0.667  0.333  0.333
Mg  0.000  0.000  0.829
Mg  0.333  0.667  0.496
Mg  0.667  0.333  0.163
Bi  0.000  0.000  0.417
Bi  0.000  0.000  0.582
Bi  0.333  0.667  0.083
Bi  0.333  0.667  0.249
Bi  0.667  0.333  0.750
Bi  0.667  0.333  0.916


3.
This record from Alexandria via LeMat-Bulk describes a relaxed Ho3MgBi2 crystal. The functional is PBE.

Symmetry: C2/c (15)
Energy relative to the elements: -0.413 eV per atom

Cell lengths 7.740, 7.740, 8.398 Å; angles 106.06, 106.06, 48.64 degrees
Element x y z (fractional)
Ho  0.208  0.792  0.750
Ho  0.316  0.325  0.410
Ho  0.325  0.316  0.910
Ho  0.675  0.684  0.090
Ho  0.684  0.675  0.590
Ho  0.792  0.208  0.250
Mg  0.313  0.687  0.250
Mg  0.687  0.313  0.750
Bi  0.144  0.153  0.072
Bi  0.153  0.144  0.572
Bi  0.847  0.856  0.428
Bi  0.856  0.847  0.928


4.
This record from Alexandria via LeMat-Bulk describes a relaxed HoMgBi2 crystal. The functional is PBE.

Symmetry: P4/mmm (123)
Energy relative to the elements: -0.404 eV per atom
Excess energy over the best structure of this formula in the dataset: 0.033 eV/atom

Cell lengths 5.141, 5.141, 4.189 Å; angles 90.00, 90.00, 90.00 degrees
Element x y z (fractional)
Ho  0.000  0.000  0.000
Mg  0.500  0.500  0.000
Bi  0.000  0.500  0.500
Bi  0.500  0.000  0.500


5.
This record from Alexandria via LeMat-Bulk describes a relaxed HoMgBi crystal. The functional is PBE.

Symmetry: P3m1 (156)
Energy relative to the elements: -0.277 eV per atom
Excess energy over the best structure of this formula in the dataset: 0.075 eV/atom

Cell lengths 5.043, 5.043, 3.706 Å; angles 90.00, 90.00, 120.00 degrees
Element x y z (fractional)
Ho  0.000  0.000  0.000
Mg  0.667  0.333  0.500
Bi  0.333  0.667  0.501


6.
This record from Alexandria via LeMat-Bulk describes a relaxed HoMg2Bi crystal. The functional is PBE.

Symmetry: P4/mmm (123)
Energy relative to the elements: -0.326 eV per atom
Excess energy over the best structure of this formula in the dataset: 0.000 eV/atom

Cell lengths 4.561, 4.561, 4.960 Å; angles 90.00, 90.00, 90.00 degrees
Element x y z (fractional)
Ho  0.000  0.000  0.000
Mg  0.000  0.500  0.500
Mg  0.500  0.000  0.500
Bi  0.500  0.500  0.000


7.
This record from Alexandria via LeMat-Bulk describes a relaxed HoMgBi crystal. The functional is PBE.

Symmetry: C2/m (12)
Energy relative to the elements: -0.352 eV per atom
Excess energy over the best structure of this formula in the dataset: 0.000 eV/atom

Cell lengths 6.302, 6.350, 9.121 Å; angles 90.00, 109.75, 90.00 degrees
Element x y z (fractional)
Ho  0.176  0.000  0.353
Ho  0.324  0.500  0.647
Ho  0.676  0.500  0.353
Ho  0.824  0.000  0.647
Mg  0.233  0.000  0.000
Mg  0.267  0.500  0.000
Mg  0.733  0.500  0.000
Mg  0.767  0.000  0.000
Bi  0.144  0.500  0.287
Bi  0.356  0.000  0.713
Bi  0.644  0.000  0.287
Bi  0.856  0.500  0.713


8.
This record from Alexandria via LeMat-Bulk describes a relaxed Ho5MgBi2 crystal. The functional is PBE.

Symmetry: I4/mmm (139)
Energy relative to the elements: -0.323 eV per atom

Cell lengths 6.970, 6.970, 9.230 Å; angles 90.00, 90.00, 90.00 degrees
Element x y z (fractional)
Ho  0.000  0.000  0.000
Ho  0.250  0.250  0.250
Ho  0.250  0.250  0.750
Ho  0.250  0.750  0.250
Ho  0.250  0.750  0.750
Ho  0.500  0.500  0.500
Ho  0.750  0.250  0.250
Ho  0.750  0.250  0.750
Ho  0.750  0.750  0.250
Ho  0.750  0.750  0.750
Mg  0.000  0.000  0.500
Mg  0.500  0.500  0.000
Bi  0.000  0.500  0.000
Bi  0.000  0.500  0.500
Bi  0.500  0.000  0.000
Bi  0.500  0.000  0.500


Repeat the seventh record exactly.
This record from Alexandria via LeMat-Bulk describes a relaxed HoMgBi crystal. The functional is PBE.

Symmetry: C2/m (12)
Energy relative to the elements: -0.352 eV per atom
Excess energy over the best structure of this formula in the dataset: 0.000 eV/atom

Cell lengths 6.302, 6.350, 9.121 Å; angles 90.00, 109.75, 90.00 degrees
Element x y z (fractional)
Ho  0.176  0.000  0.353
Ho  0.324  0.500  0.647
Ho  0.676  0.500  0.353
Ho  0.824  0.000  0.647
Mg  0.233  0.000  0.000
Mg  0.267  0.500  0.000
Mg  0.733  0.500  0.000
Mg  0.767  0.000  0.000
Bi  0.144  0.500  0.287
Bi  0.356  0.000  0.713
Bi  0.644  0.000  0.287
Bi  0.856  0.500  0.713